CsTe8Mo5: optimized geometry, PBE.

Cell: 9.6662 9.6662 13.6010 Å, 128.77 128.77 21.41°
With the nearest neighbours (Å) after each atom.
Element x y z (fractional)
Cs 0.0000 0.0000 0.0000  8 Te 3.51-3.77, 2 Cs 3.59
Mo 0.3088 0.3088 0.1200  5 Te 2.65-2.88
Mo 0.1711 0.1711 0.4779  5 Te 2.65-2.92
Mo 0.0000 0.0000 0.5000  6 Te 2.72-2.76
Mo 0.8289 0.8289 0.5221  5 Te 2.65-2.92
Mo 0.6912 0.6912 0.8800  5 Te 2.65-2.88
Te 0.6864 0.6864 0.0707  3 Mo 2.65-2.66
Te 0.9617 0.9617 0.2706  3 Mo 2.72-2.88
Te 0.6542 0.6542 0.3158  3 Mo 2.65-2.70
Te 0.3569 0.3569 0.3807  5 Mo 2.76-3.05
Te 0.6431 0.6431 0.6193  5 Mo 2.76-3.05
Te 0.3458 0.3458 0.6842  3 Mo 2.65-2.70
Te 0.0383 0.0383 0.7294  3 Mo 2.72-2.88
Te 0.3136 0.3136 0.9293  3 Mo 2.65-2.66

- space-group type = C2/m, No. 12
- electronic total energy (eV for the cell shown) = -81.693
- size of the total moment (Bohr magnetons per cell) = 0.000